1.
# GGA-PBEsol Y3In5, relaxed
data_Y3In5
_cell_length_a 6.296
_cell_length_b 6.296
_cell_length_c 10.194
_cell_angle_alpha 90.00
_cell_angle_beta 90.00
_cell_angle_gamma 78.13
_space_group_name_H-M_alt 'P 1'
_space_group_IT_number 1
_space_group_name_Hall 'P 1'
loop_
_atom_site_label
_atom_site_type_symbol
_atom_site_fract_x
_atom_site_fract_y
_atom_site_fract_z
Y1 Y 0.120 0.880 0.750
Y2 Y 0.295 0.295 0.000
Y3 Y 0.295 0.295 0.500
Y4 Y 0.705 0.705 0.000
Y5 Y 0.705 0.705 0.500
Y6 Y 0.880 0.120 0.250
In1 In 0.006 0.429 0.750
In2 In 0.193 0.807 0.045
In3 In 0.193 0.807 0.455
In4 In 0.429 0.006 0.250
In5 In 0.495 0.505 0.250
In6 In 0.505 0.495 0.750
In7 In 0.571 0.994 0.750
In8 In 0.807 0.193 0.545
In9 In 0.807 0.193 0.955
In10 In 0.994 0.571 0.250
# Energy above the most stable polymorph in this dataset, eV/f.u.: 0.01
# Fermi-level density of states, states/eV/cell: 8.5
# Energy of formation from the pure elements, meV/atom: -560
# DFT total energy, eV/atom: -4.98
# Crystal system: orthorhombic



2.
# GGA-PBEsol Y5In, relaxed
data_Y5In
_cell_length_a 4.791
_cell_length_b 14.929
_cell_length_c 4.792
_cell_angle_alpha 90.00
_cell_angle_beta 90.00
_cell_angle_gamma 90.00
_space_group_name_H-M_alt 'P 1'
_space_group_IT_number 1
_space_group_name_Hall 'P 1'
loop_
_atom_site_label
_atom_site_type_symbol
_atom_site_fract_x
_atom_site_fract_y
_atom_site_fract_z
Y1 Y 0.000 0.000 0.000
Y2 Y 0.000 0.161 0.500
Y3 Y 0.000 0.333 0.000
Y4 Y 0.000 0.667 0.000
Y5 Y 0.000 0.839 0.500
Y6 Y 0.500 0.167 0.000
Y7 Y 0.500 0.339 0.500
Y8 Y 0.500 0.500 0.000
Y9 Y 0.500 0.661 0.500
Y10 Y 0.500 0.833 0.000
In1 In 0.000 0.500 0.500
In2 In 0.500 0.000 0.500
# Energy above the most stable polymorph in this dataset, eV/f.u.: 0.00
# Fermi-level density of states, states/eV/cell: 14.8
# Energy of formation from the pure elements, meV/atom: -189
# DFT total energy, eV/atom: -6.37
# Crystal system: orthorhombic



3.
# GGA-PBEsol Y2In, relaxed
data_Y2In
_cell_length_a 3.528
_cell_length_b 3.528
_cell_length_c 7.930
_cell_angle_alpha 90.00
_cell_angle_beta 90.00
_cell_angle_gamma 120.00
_space_group_name_H-M_alt 'P 1'
_space_group_IT_number 1
_space_group_name_Hall 'P 1'
loop_
_atom_site_label
_atom_site_type_symbol
_atom_site_fract_x
_atom_site_fract_y
_atom_site_fract_z
Y1 Y 0.333 0.667 0.318
Y2 Y 0.667 0.333 0.682
In1 In 0.000 0.000 0.000
# Fermi-level density of states, states/eV/cell: 4.1
# Energy of formation from the pure elements, meV/atom: -221
# DFT total energy, eV/atom: -5.76
# Crystal system: trigonal



4.
# GGA-PBEsol Y2In, relaxed
data_Y2In
_cell_length_a 9.845
_cell_length_b 9.845
_cell_length_c 9.845
_cell_angle_alpha 60.00
_cell_angle_beta 60.00
_cell_angle_gamma 60.00
_space_group_name_H-M_alt 'P 1'
_space_group_IT_number 1
_space_group_name_Hall 'P 1'
loop_
_atom_site_label
_atom_site_type_symbol
_atom_site_fract_x
_atom_site_fract_y
_atom_site_fract_z
Y1 Y 0.000 0.000 0.000
Y2 Y 0.000 0.000 0.500
Y3 Y 0.000 0.500 0.000
Y4 Y 0.186 0.186 0.564
Y5 Y 0.186 0.564 0.186
Y6 Y 0.186 0.564 0.564
Y7 Y 0.436 0.436 0.814
Y8 Y 0.436 0.814 0.436
Y9 Y 0.436 0.814 0.814
Y10 Y 0.500 0.000 0.000
Y11 Y 0.564 0.186 0.186
Y12 Y 0.564 0.186 0.564
Y13 Y 0.564 0.564 0.186
Y14 Y 0.814 0.436 0.436
Y15 Y 0.814 0.436 0.814
Y16 Y 0.814 0.814 0.436
In1 In 0.150 0.783 0.783
In2 In 0.217 0.217 0.217
In3 In 0.217 0.217 0.850
In4 In 0.217 0.850 0.217
In5 In 0.783 0.150 0.783
In6 In 0.783 0.783 0.150
In7 In 0.783 0.783 0.783
In8 In 0.850 0.217 0.217
# Fermi-level density of states, states/eV/cell: 32.9
# Energy of formation from the pure elements, meV/atom: -373
# DFT total energy, eV/atom: -5.92
# Crystal system: cubic



| no. | total moment (μB per formula unit) |
| --- | --- |
| 1 | 0.00 |
| 2 | 0.00 |
| 3 | 0.41 |
| 4 | 0.00 |